[1]
# PBE Dy8Tc2Sn, relaxed
# DFT formation energy, meV/atom: -194
# Total energy, eV per atom: -5.7899
# Total magnetization, μB per cell: 0.0
# D(E_F), states/eV per cell: 9.6
data_Dy8Tc2Sn
_cell_length_a 9.2659
_cell_length_b 9.2659
_cell_length_c 7.3376
_cell_angle_alpha 109.31
_cell_angle_beta 109.31
_cell_angle_gamma 30.09
_space_group_name_H-M_alt 'P 1'
_space_group_IT_number 1
loop_
_space_group_symop_operation_xyz
'x,y,z'
loop_
_atom_site_label
_atom_site_fract_x
_atom_site_fract_y
_atom_site_fract_z
_atom_site_occupancy
Dy1 0.0363 0.0363 0.2589 1
Dy2 0.1992 0.1992 0.8105 1
Dy3 0.3231 0.3231 0.5479 1
Dy4 0.3990 0.3990 0.0275 1
Dy5 0.6010 0.6010 0.9725 1
Dy6 0.6769 0.6769 0.4521 1
Dy7 0.8008 0.8008 0.1895 1
Dy8 0.9637 0.9637 0.7411 1
Tc1 0.1883 0.1883 0.1949 1
Tc2 0.8117 0.8117 0.8051 1
Sn1 0.5000 0.5000 0.5000 1



[2]
# PBE AcY2V, relaxed
# DFT formation energy, meV/atom: 720
# Total energy, eV per atom: -5.8193
# Total magnetization, μB per cell: 3.2
# D(E_F), states/eV per cell: 6.0
data_AcY2V
_cell_length_a 11.9477
_cell_length_b 11.9477
_cell_length_c 11.9477
_cell_angle_alpha 17.01
_cell_angle_beta 17.01
_cell_angle_gamma 17.01
_space_group_name_H-M_alt 'P 1'
_space_group_IT_number 1
loop_
_space_group_symop_operation_xyz
'x,y,z'
loop_
_atom_site_label
_atom_site_fract_x
_atom_site_fract_y
_atom_site_fract_z
_atom_site_occupancy
Ac1 0.0000 0.0000 0.0000 1
Y1 0.4206 0.4206 0.4206 1
Y2 0.5794 0.5794 0.5794 1
V1 0.5000 0.5000 0.5000 1



[3]
# PBE Sr2IrCl2, relaxed
# Energy above the most stable polymorph in this dataset, meV per atom: 41
# Total energy, eV per atom: -4.0653
# Energy relative to the elements, uncorrected, meV/atom: -881.7
# Total magnetization, μB per cell: 1.0
# D(E_F), states/eV per cell: 3.4
data_Sr2IrCl2
_cell_length_a 8.0427
_cell_length_b 8.0427
_cell_length_c 8.0427
_cell_angle_alpha 147.86
_cell_angle_beta 147.86
_cell_angle_gamma 46.10
_space_group_name_H-M_alt 'P 1'
_space_group_IT_number 1
loop_
_space_group_symop_operation_xyz
'x,y,z'
loop_
_atom_site_label
_atom_site_fract_x
_atom_site_fract_y
_atom_site_fract_z
_atom_site_occupancy
Sr1 0.1238 0.1238 0.0000 1
Sr2 0.8762 0.8762 0.0000 1
Ir1 0.5000 0.5000 0.0000 1
Cl1 0.2500 0.7500 0.5000 1
Cl2 0.7500 0.2500 0.5000 1



[4]
# PBE LiCa2Ga5Ru2, relaxed
# DFT formation energy, meV/atom: -324
# Total energy, eV per atom: -4.2845
# Total magnetization, μB per cell: 0.0
# D(E_F), states/eV per cell: 12.8
data_LiCa2Ga5Ru2
_cell_length_a 10.5418
_cell_length_b 10.5418
_cell_length_c 3.2439
_cell_angle_alpha 90.00
_cell_angle_beta 90.00
_cell_angle_gamma 90.00
_space_group_name_H-M_alt 'P 1'
_space_group_IT_number 1
loop_
_space_group_symop_operation_xyz
'x,y,z'
loop_
_atom_site_label
_atom_site_fract_x
_atom_site_fract_y
_atom_site_fract_z
_atom_site_occupancy
Li1 0.0000 0.0000 0.0000 1
Li2 0.5000 0.5000 0.0000 1
Ca1 0.1823 0.3177 0.0000 1
Ca2 0.3177 0.8177 0.0000 1
Ca3 0.6823 0.1823 0.0000 1
Ca4 0.8177 0.6823 0.0000 1
Ga1 0.0000 0.5000 0.5000 1
Ga2 0.0537 0.8080 0.5000 1
Ga3 0.1920 0.0537 0.5000 1
Ga4 0.3080 0.5537 0.5000 1
Ga5 0.4463 0.3080 0.5000 1
Ga6 0.5000 0.0000 0.5000 1
Ga7 0.5537 0.6920 0.5000 1
Ga8 0.6920 0.4463 0.5000 1
Ga9 0.8080 0.9463 0.5000 1
Ga10 0.9463 0.1920 0.5000 1
Ru1 0.1277 0.6277 0.0000 1
Ru2 0.3723 0.1277 0.0000 1
Ru3 0.6277 0.8723 0.0000 1
Ru4 0.8723 0.3723 0.0000 1



[5]
# PBE LiPmRh, relaxed
# DFT formation energy, meV/atom: -500
# Energy above the most stable polymorph in this dataset, meV per atom: 0
# Total energy, eV per atom: -5.1724
# Total magnetization, μB per cell: 0.0
# D(E_F), states/eV per cell: 3.3
data_LiPmRh
_cell_length_a 4.0073
_cell_length_b 4.0073
_cell_length_c 7.5737
_cell_angle_alpha 90.00
_cell_angle_beta 90.00
_cell_angle_gamma 90.00
_space_group_name_H-M_alt 'P 1'
_space_group_IT_number 1
loop_
_space_group_symop_operation_xyz
'x,y,z'
loop_
_atom_site_label
_atom_site_fract_x
_atom_site_fract_y
_atom_site_fract_z
_atom_site_occupancy
Li1 0.2500 0.7500 0.0000 1
Li2 0.7500 0.2500 0.0000 1
Pm1 0.2500 0.2500 0.3418 1
Pm2 0.7500 0.7500 0.6582 1
Rh1 0.2500 0.2500 0.7401 1
Rh2 0.7500 0.7500 0.2599 1



[6]
# PBE YHg2Rh, relaxed
# DFT formation energy, meV/atom: -294
# Total energy, eV per atom: -3.8987
# Total magnetization, μB per cell: 0.0
# D(E_F), states/eV per cell: 4.3
data_YHg2Rh
_cell_length_a 4.9057
_cell_length_b 4.9057
_cell_length_c 4.9057
_cell_angle_alpha 60.00
_cell_angle_beta 60.00
_cell_angle_gamma 60.00
_space_group_name_H-M_alt 'P 1'
_space_group_IT_number 1
loop_
_space_group_symop_operation_xyz
'x,y,z'
loop_
_atom_site_label
_atom_site_fract_x
_atom_site_fract_y
_atom_site_fract_z
_atom_site_occupancy
Y1 0.0000 0.0000 0.0000 1
Hg1 0.2500 0.2500 0.2500 1
Hg2 0.7500 0.7500 0.7500 1
Rh1 0.5000 0.5000 0.5000 1



total magnetization of number 2 (AcY2V)? 3.2 μB per cell